(1)
This record from Alexandria describes Li3CaBi at its PBEsol-relaxed geometry. The functional is meta-GGA SCAN.

Output
**D(E_F)**: 0.43 states/eV/atom
**ΔE_f**: -171 meV/atom

```
data_Li3CaBi
_cell_length_a 5.233
_cell_length_b 5.233
_cell_length_c 5.233
_cell_angle_alpha 90.00
_cell_angle_beta 90.00
_cell_angle_gamma 90.00
_symmetry_space_group_name_H-M 'P 1'
_symmetry_Int_Tables_number 1
loop_
_symmetry_equiv_pos_as_xyz
'x,y,z'
loop_
_atom_site_label
_atom_site_fract_x
_atom_site_fract_y
_atom_site_fract_z
_atom_site_occupancy
Ca1 0.500 0.500 0.500 1
Bi1 0.000 0.000 0.000 1
Li1 0.000 0.500 0.000 1
Li2 0.000 0.000 0.500 1
Li3 0.500 0.000 0.000 1
```

(2)
This record from Alexandria describes Cr2ReTc at its PBEsol-relaxed geometry. The functional is meta-GGA SCAN.

Output
**D(E_F)**: 1.05 states/eV/atom
**ΔE_f**: -12 meV/atom

```
data_Cr2ReTc
_cell_length_a 2.953
_cell_length_b 4.163
_cell_length_c 4.163
_cell_angle_alpha 90.00
_cell_angle_beta 90.00
_cell_angle_gamma 90.00
_symmetry_space_group_name_H-M 'P 1'
_symmetry_Int_Tables_number 1
loop_
_symmetry_equiv_pos_as_xyz
'x,y,z'
loop_
_atom_site_label
_atom_site_fract_x
_atom_site_fract_y
_atom_site_fract_z
_atom_site_occupancy
Cr1 0.000 0.000 0.500 1
Cr2 0.000 0.500 0.000 1
Tc1 0.500 0.000 0.000 1
Re1 0.500 0.500 0.500 1
```

(3)
This record from Alexandria describes La2ScTa at its PBEsol-relaxed geometry. The functional is meta-GGA SCAN.

Output
**D(E_F)**: 0.74 states/eV/atom
**ΔE_f**: 435 meV/atom

```
data_La2ScTa
_cell_length_a 5.225
_cell_length_b 5.225
_cell_length_c 5.225
_cell_angle_alpha 60.00
_cell_angle_beta 60.00
_cell_angle_gamma 60.00
_symmetry_space_group_name_H-M 'P 1'
_symmetry_Int_Tables_number 1
loop_
_symmetry_equiv_pos_as_xyz
'x,y,z'
loop_
_atom_site_label
_atom_site_fract_x
_atom_site_fract_y
_atom_site_fract_z
_atom_site_occupancy
La1 0.250 0.250 0.250 1
La2 0.750 0.750 0.750 1
Sc1 0.000 0.000 0.000 1
Ta1 0.500 0.500 0.500 1
```

(4)
This record from Alexandria describes SrPd at its PBEsol-relaxed geometry. The functional is meta-GGA SCAN.

Output
**D(E_F)**: 0.24 states/eV/atom
**ΔE_f**: -637 meV/atom

```
data_SrPd
_cell_length_a 4.206
_cell_length_b 4.456
_cell_length_c 5.957
_cell_angle_alpha 90.00
_cell_angle_beta 110.68
_cell_angle_gamma 90.00
_symmetry_space_group_name_H-M 'P 1'
_symmetry_Int_Tables_number 1
loop_
_symmetry_equiv_pos_as_xyz
'x,y,z'
loop_
_atom_site_label
_atom_site_fract_x
_atom_site_fract_y
_atom_site_fract_z
_atom_site_occupancy
Sr1 0.860 0.750 0.720 1
Sr2 0.140 0.250 0.280 1
Pd1 0.570 0.750 0.141 1
Pd2 0.430 0.250 0.859 1
```

(5)
This record from Alexandria describes PtAuSe2 at its PBEsol-relaxed geometry. The functional is meta-GGA SCAN.

Output
**D(E_F)**: 0.29 states/eV/atom
**Raw formation energy**: -0.07 eV per atom

```
data_PtAuSe2
_cell_length_a 3.601
_cell_length_b 4.802
_cell_length_c 5.295
_cell_angle_alpha 100.08
_cell_angle_beta 109.88
_cell_angle_gamma 90.00
_symmetry_space_group_name_H-M 'P 1'
_symmetry_Int_Tables_number 1
loop_
_symmetry_equiv_pos_as_xyz
'x,y,z'
loop_
_atom_site_label
_atom_site_fract_x
_atom_site_fract_y
_atom_site_fract_z
_atom_site_occupancy
Au1 0.577 0.685 0.155 1
Pt1 0.300 0.611 0.601 1
Se1 0.911 0.923 0.823 1
Se2 0.711 0.280 0.422 1
```

(6)
This record from Alexandria describes CaAgW2 at its PBEsol-relaxed geometry. The functional is meta-GGA SCAN.

Output
**D(E_F)**: 1.16 states/eV/atom
**ΔE_f**: 528 meV/atom

```
data_CaAgW2
_cell_length_a 3.259
_cell_length_b 3.259
_cell_length_c 7.359
_cell_angle_alpha 90.00
_cell_angle_beta 90.00
_cell_angle_gamma 90.00
_symmetry_space_group_name_H-M 'P 1'
_symmetry_Int_Tables_number 1
loop_
_symmetry_equiv_pos_as_xyz
'x,y,z'
loop_
_atom_site_label
_atom_site_fract_x
_atom_site_fract_y
_atom_site_fract_z
_atom_site_occupancy
Ag1 0.000 0.000 0.467 1
Ca1 0.500 0.500 0.753 1
W1 0.000 0.000 0.060 1
W2 0.500 0.500 0.220 1
```

(7)
This record from Alexandria describes KSiI2N at its PBEsol-relaxed geometry. The functional is meta-GGA SCAN.

Output
**D(E_F)**: 0.30 states/eV/atom
**Raw formation energy**: -0.35 eV per atom

```
data_KSiI2N
_cell_length_a 3.412
_cell_length_b 5.991
_cell_length_c 5.991
_cell_angle_alpha 90.00
_cell_angle_beta 90.00
_cell_angle_gamma 90.00
_symmetry_space_group_name_H-M 'P 1'
_symmetry_Int_Tables_number 1
loop_
_symmetry_equiv_pos_as_xyz
'x,y,z'
loop_
_atom_site_label
_atom_site_fract_x
_atom_site_fract_y
_atom_site_fract_z
_atom_site_occupancy
I1 0.000 0.000 0.500 1
I2 0.000 0.500 0.000 1
K1 0.500 0.500 0.500 1
Si1 0.000 0.000 0.000 1
N1 0.500 0.000 0.000 1
```

(8)
This record from Alexandria describes BeSb2As at its PBEsol-relaxed geometry. The functional is meta-GGA SCAN.

Output
**D(E_F)**: 0.29 states/eV/atom
**Raw formation energy**: 0.13 eV per atom

```
data_BeSb2As
_cell_length_a 3.977
_cell_length_b 3.977
_cell_length_c 7.505
_cell_angle_alpha 66.20
_cell_angle_beta 66.20
_cell_angle_gamma 56.17
_symmetry_space_group_name_H-M 'P 1'
_symmetry_Int_Tables_number 1
loop_
_symmetry_equiv_pos_as_xyz
'x,y,z'
loop_
_atom_site_label
_atom_site_fract_x
_atom_site_fract_y
_atom_site_fract_z
_atom_site_occupancy
Sb1 0.943 0.943 0.020 1
Sb2 0.772 0.772 0.740 1
As1 0.532 0.532 0.409 1
Be1 0.253 0.253 0.331 1
```

(9)
This record from Alexandria describes KCaCl3 at its PBEsol-relaxed geometry. The functional is meta-GGA SCAN.

Output
**D(E_F)**: 0.00 states/eV/atom
**Raw formation energy**: -2.48 eV per atom

```
data_KCaCl3
_cell_length_a 7.167
_cell_length_b 7.167
_cell_length_c 7.952
_cell_angle_alpha 63.21
_cell_angle_beta 63.21
_cell_angle_gamma 60.00
_symmetry_space_group_name_H-M 'P 1'
_symmetry_Int_Tables_number 1
loop_
_symmetry_equiv_pos_as_xyz
'x,y,z'
loop_
_atom_site_label
_atom_site_fract_x
_atom_site_fract_y
_atom_site_fract_z
_atom_site_occupancy
Ca1 0.659 0.659 0.023 1
Ca2 0.341 0.341 0.977 1
K1 0.859 0.859 0.424 1
K2 0.141 0.141 0.576 1
Cl1 0.061 0.468 0.770 1
Cl2 0.701 0.061 0.770 1
Cl3 0.468 0.701 0.770 1
Cl4 0.532 0.299 0.230 1
Cl5 0.299 0.939 0.230 1
Cl6 0.939 0.532 0.230 1
```

(10)
This record from Alexandria describes KIn9Co2 at its PBEsol-relaxed geometry. The functional is meta-GGA SCAN.

Output
**D(E_F)**: 0.21 states/eV/atom
**ΔE_f**: -93 meV/atom

```
data_KIn9Co2
_cell_length_a 4.167
_cell_length_b 8.692
_cell_length_c 8.692
_cell_angle_alpha 120.00
_cell_angle_beta 90.00
_cell_angle_gamma 90.00
_symmetry_space_group_name_H-M 'P 1'
_symmetry_Int_Tables_number 1
loop_
_symmetry_equiv_pos_as_xyz
'x,y,z'
loop_
_atom_site_label
_atom_site_fract_x
_atom_site_fract_y
_atom_site_fract_z
_atom_site_occupancy
K1 0.000 0.000 0.000 1
In1 0.500 0.418 0.209 1
In2 0.000 0.500 0.500 1
In3 0.000 0.000 0.500 1
In4 0.500 0.791 0.582 1
In5 0.500 0.582 0.791 1
In6 0.500 0.209 0.791 1
In7 0.500 0.209 0.418 1
In8 0.000 0.500 0.000 1
In9 0.500 0.791 0.209 1
Co1 0.000 0.667 0.333 1
Co2 0.000 0.333 0.667 1
```

(11)
This record from Alexandria describes SbRhW2 at its PBEsol-relaxed geometry. The functional is meta-GGA SCAN.

Output
**D(E_F)**: 0.59 states/eV/atom
**Raw formation energy**: 0.33 eV per atom

```
data_SbRhW2
_cell_length_a 3.062
_cell_length_b 4.447
_cell_length_c 4.895
_cell_angle_alpha 103.75
_cell_angle_beta 90.00
_cell_angle_gamma 90.00
_symmetry_space_group_name_H-M 'P 1'
_symmetry_Int_Tables_number 1
loop_
_symmetry_equiv_pos_as_xyz
'x,y,z'
loop_
_atom_site_label
_atom_site_fract_x
_atom_site_fract_y
_atom_site_fract_z
_atom_site_occupancy
Rh1 0.500 0.000 0.500 1
Sb1 0.000 0.500 0.500 1
W1 0.000 0.000 0.000 1
W2 0.500 0.500 0.000 1
```

(12)
This record from Alexandria describes MgGeMoIr2 at its PBEsol-relaxed geometry. The functional is meta-GGA SCAN.

Output
**D(E_F)**: 0.81 states/eV/atom
**ΔE_f**: 1353 meV/atom

```
data_MgGeMoIr2
_cell_length_a 4.648
_cell_length_b 4.648
_cell_length_c 4.931
_cell_angle_alpha 90.00
_cell_angle_beta 90.00
_cell_angle_gamma 90.00
_symmetry_space_group_name_H-M 'P 1'
_symmetry_Int_Tables_number 1
loop_
_symmetry_equiv_pos_as_xyz
'x,y,z'
loop_
_atom_site_label
_atom_site_fract_x
_atom_site_fract_y
_atom_site_fract_z
_atom_site_occupancy
Mg1 0.000 0.000 0.500 1
Mo1 0.000 0.000 0.000 1
Ir1 0.000 0.500 0.000 1
Ir2 0.500 0.000 0.000 1
Ge1 0.500 0.500 0.500 1
```

(13)
This record from Alexandria describes Li2CuNi at its PBEsol-relaxed geometry. The functional is meta-GGA SCAN.

Output
**D(E_F)**: 0.50 states/eV/atom
**ΔE_f**: 19 meV/atom

```
data_Li2CuNi
_cell_length_a 2.547
_cell_length_b 4.290
_cell_length_c 4.450
_cell_angle_alpha 100.34
_cell_angle_beta 106.63
_cell_angle_gamma 90.00
_symmetry_space_group_name_H-M 'P 1'
_symmetry_Int_Tables_number 1
loop_
_symmetry_equiv_pos_as_xyz
'x,y,z'
loop_
_atom_site_label
_atom_site_fract_x
_atom_site_fract_y
_atom_site_fract_z
_atom_site_occupancy
Ni1 0.000 0.500 0.000 1
Cu1 0.500 0.000 0.000 1
Li1 0.250 0.255 0.501 1
Li2 0.750 0.745 0.499 1
```

Number 1: total energy -19.25 eV per atom. Number 2: total energy -35.74 eV per atom. Number 3: total energy -41.32 eV per atom. Number 4: total energy -28.16 eV per atom. Number 5: total energy -44.95 eV per atom. Number 6: total energy -44.57 eV per atom. Number 7: total energy -20.58 eV per atom. Number 8: total energy -24.64 eV per atom. Number 9: total energy -10.86 eV per atom. Number 10: total energy -28.71 eV per atom. Number 11: total energy -52.27 eV per atom. Number 12: total energy -38.88 eV per atom. Number 13: total energy -9.02 eV per atom.